Here is crystalline Ga3GeRu4 at its relaxed geometry from Alexandria via LeMat-Bulk. Energies are from PBE-GGA.

```
data_Ga3GeRu4
_cell_length_a 3.030
_cell_length_b 4.289
_cell_length_c 8.572
_cell_angle_alpha 90.00
_cell_angle_beta 90.00
_cell_angle_gamma 90.00
_symmetry_space_group_name_H-M 'P m m m'
_symmetry_Int_Tables_number 47
_symmetry_space_group_name_Hall '-P 2 2'
loop_
_atom_site_label
_atom_site_type_symbol
_atom_site_fract_x
_atom_site_fract_y
_atom_site_fract_z
_atom_site_occupancy
Ga1 Ga 0.000 0.000 0.000 1
Ga2 Ga 0.000 0.500 0.246 1
Ge1 Ge 0.000 0.000 0.500 1
Ru1 Ru 0.500 0.000 0.257 1
Ru2 Ru 0.500 0.500 0.000 1
Ru3 Ru 0.500 0.500 0.500 1
```

Calculated formation energy, eV/atom: -0.304
Total magnetic moment, μB/atom: 0.00